(1)
Entry from Alexandria via LeMat-Bulk: an optimized crystal structure of Ca2MnRe (PBE).

Geometry as CIF:
```
data_Ca2MnRe
_chemical_formula_sum 'Ca2 Mn1 Re1'
_space_group_name_H-M_alt 'P 1'
_space_group_IT_number 1
_cell_length_a 4.7230
_cell_length_b 2.8845
_cell_length_c 6.8476
_cell_angle_alpha 64.50
_cell_angle_beta 90.00
_cell_angle_gamma 90.00
loop_
_space_group_symop_operation_xyz
'x,y,z'
loop_
_atom_site_label
_atom_site_type_symbol
_atom_site_fract_x
_atom_site_fract_y
_atom_site_fract_z
Ca1 Ca 0.0000 0.0061 0.9921
Ca2 Ca 0.0000 0.4939 0.5079
Re1 Re 0.5000 0.7500 0.7500
Mn1 Mn 0.5000 0.2500 0.2500
```

Computed properties:
The calculation puts the energy relative to the elements at 0.816 eV/atom. For the polymorph energy (0 for the lowest one), the calculation gives 507 meV/atom. Its symmetry is No. 10.

(2)
Entry from Alexandria via LeMat-Bulk: an optimized crystal structure of Ca2MnRe (PBE).

Geometry as CIF:
```
data_Ca2MnRe
_chemical_formula_sum 'Ca4 Mn2 Re2'
_space_group_name_H-M_alt 'P 1'
_space_group_IT_number 1
_cell_length_a 8.0486
_cell_length_b 8.0486
_cell_length_c 6.3356
_cell_angle_alpha 50.57
_cell_angle_beta 50.57
_cell_angle_gamma 90.00
loop_
_space_group_symop_operation_xyz
'x,y,z'
loop_
_atom_site_label
_atom_site_type_symbol
_atom_site_fract_x
_atom_site_fract_y
_atom_site_fract_z
Re1 Re 0.0000 0.0000 0.0000
Re2 Re 0.7500 0.2500 0.5000
Ca1 Ca 0.6257 0.1250 0.2500
Ca2 Ca 0.1243 0.6250 0.2500
Ca3 Ca 0.8750 0.8757 0.7500
Ca4 Ca 0.3750 0.3743 0.7500
Mn1 Mn 0.5000 0.5000 0.0000
Mn2 Mn 0.2500 0.7500 0.5000
```

Computed properties:
The calculation puts the energy relative to the elements at 1.180 eV/atom. For the polymorph energy (0 for the lowest one), the calculation gives 871 meV/atom. Its symmetry is No. 122.

(3)
Entry from Alexandria via LeMat-Bulk: an optimized crystal structure of CaMnRe2 (PBE).

Geometry as CIF:
```
data_CaMnRe2
_chemical_formula_sum 'Ca1 Mn1 Re2'
_space_group_name_H-M_alt 'P 1'
_space_group_IT_number 1
_cell_length_a 3.0773
_cell_length_b 3.0773
_cell_length_c 7.2659
_cell_angle_alpha 90.00
_cell_angle_beta 90.00
_cell_angle_gamma 90.00
loop_
_space_group_symop_operation_xyz
'x,y,z'
loop_
_atom_site_label
_atom_site_type_symbol
_atom_site_fract_x
_atom_site_fract_y
_atom_site_fract_z
Re1 Re 0.5000 0.5000 0.1949
Re2 Re 0.0000 0.0000 0.9823
Mn1 Mn 0.5000 0.5000 0.8161
Ca1 Ca 0.0000 0.0000 0.5067
```

Computed properties:
The calculation puts the energy relative to the elements at 0.481 eV/atom. For the polymorph energy (0 for the lowest one), the calculation gives 0 meV/atom. Its symmetry is No. 99.

(4)
Entry from Alexandria via LeMat-Bulk: an optimized crystal structure of CaMnRe2 (PBE).

Geometry as CIF:
```
data_CaMnRe2
_chemical_formula_sum 'Ca1 Mn1 Re2'
_space_group_name_H-M_alt 'P 1'
_space_group_IT_number 1
_cell_length_a 4.0472
_cell_length_b 2.8688
_cell_length_c 6.6748
_cell_angle_alpha 73.33
_cell_angle_beta 90.00
_cell_angle_gamma 90.00
loop_
_space_group_symop_operation_xyz
'x,y,z'
loop_
_atom_site_label
_atom_site_type_symbol
_atom_site_fract_x
_atom_site_fract_y
_atom_site_fract_z
Mn1 Mn 0.5000 0.7247 0.8075
Re1 Re 0.0000 0.0275 0.0123
Re2 Re 0.5000 0.2636 0.1791
Ca1 Ca 0.0000 0.4841 0.5011
```

Computed properties:
The calculation puts the energy relative to the elements at 0.502 eV/atom. For the polymorph energy (0 for the lowest one), the calculation gives 20 meV/atom. Its symmetry is No. 6.

(5)
Entry from Alexandria via LeMat-Bulk: an optimized crystal structure of Ca2TaMnRe (PBE).

Geometry as CIF:
```
data_Ca2TaMnRe
_chemical_formula_sum 'Ca2 Ta1 Mn1 Re1'
_space_group_name_H-M_alt 'P 1'
_space_group_IT_number 1
_cell_length_a 5.6665
_cell_length_b 4.6401
_cell_length_c 5.6665
_cell_angle_alpha 90.00
_cell_angle_beta 90.00
_cell_angle_gamma 90.00
loop_
_space_group_symop_operation_xyz
'x,y,z'
loop_
_atom_site_label
_atom_site_type_symbol
_atom_site_fract_x
_atom_site_fract_y
_atom_site_fract_z
Ta1 Ta 0.0000 0.0000 0.0000
Re1 Re 0.0000 0.5000 0.0000
Mn1 Mn 0.5000 0.5000 0.5000
Ca1 Ca 0.0000 0.0000 0.5000
Ca2 Ca 0.5000 0.0000 0.0000
```

Computed properties:
The calculation puts the energy relative to the elements at 2.010 eV/atom. Its symmetry is No. 123.

(6)
Entry from Alexandria via LeMat-Bulk: an optimized crystal structure of CaMnTl2Re (PBE).

Geometry as CIF:
```
data_CaMnTl2Re
_chemical_formula_sum 'Ca1 Mn1 Tl2 Re1'
_space_group_name_H-M_alt 'P 1'
_space_group_IT_number 1
_cell_length_a 5.6445
_cell_length_b 4.9453
_cell_length_c 5.6445
_cell_angle_alpha 90.00
_cell_angle_beta 90.00
_cell_angle_gamma 90.00
loop_
_space_group_symop_operation_xyz
'x,y,z'
loop_
_atom_site_label
_atom_site_type_symbol
_atom_site_fract_x
_atom_site_fract_y
_atom_site_fract_z
Mn1 Mn 0.0000 0.5000 0.0000
Tl1 Tl 0.0000 0.0000 0.5000
Tl2 Tl 0.5000 0.0000 0.0000
Re1 Re 0.5000 0.5000 0.5000
Ca1 Ca 0.0000 0.0000 0.0000
```

Computed properties:
The calculation puts the energy relative to the elements at 2.085 eV/atom. Its symmetry is No. 123.

(7)
Entry from Alexandria via LeMat-Bulk: an optimized crystal structure of CaMn2ZnRe (PBE).

Geometry as CIF:
```
data_CaMn2ZnRe
_chemical_formula_sum 'Ca1 Mn2 Zn1 Re1'
_space_group_name_H-M_alt 'P 1'
_space_group_IT_number 1
_cell_length_a 4.6105
_cell_length_b 5.0492
_cell_length_c 4.6105
_cell_angle_alpha 90.00
_cell_angle_beta 90.00
_cell_angle_gamma 90.00
loop_
_space_group_symop_operation_xyz
'x,y,z'
loop_
_atom_site_label
_atom_site_type_symbol
_atom_site_fract_x
_atom_site_fract_y
_atom_site_fract_z
Mn1 Mn 0.5000 0.0000 0.0000
Mn2 Mn 0.0000 0.0000 0.5000
Re1 Re 0.5000 0.5000 0.5000
Zn1 Zn 0.0000 0.0000 0.0000
Ca1 Ca 0.0000 0.5000 0.0000
```

Computed properties:
The calculation puts the energy relative to the elements at 1.463 eV/atom. Its symmetry is No. 123.

(8)
Entry from Alexandria via LeMat-Bulk: an optimized crystal structure of CaMnRh (PBE).

Geometry as CIF:
```
data_CaMnRh
_chemical_formula_sum 'Ca2 Mn2 Rh2'
_space_group_name_H-M_alt 'P 1'
_space_group_IT_number 1
_cell_length_a 3.5850
_cell_length_b 5.6602
_cell_length_c 6.5839
_cell_angle_alpha 97.20
_cell_angle_beta 74.20
_cell_angle_gamma 71.62
loop_
_space_group_symop_operation_xyz
'x,y,z'
loop_
_atom_site_label
_atom_site_type_symbol
_atom_site_fract_x
_atom_site_fract_y
_atom_site_fract_z
Ca1 Ca 0.8146 0.7693 0.0281
Ca2 Ca 0.4043 0.0193 0.5970
Mn1 Mn 0.9431 0.2909 0.2477
Mn2 Mn 0.2753 0.4978 0.3777
Rh1 Rh 0.6575 0.4730 0.6391
Rh2 Rh 0.5611 0.3155 0.9862
```

Computed properties:
The calculation puts the energy relative to the elements at 0.052 eV/atom. Its symmetry is No. 2.